Record 1
Material: GdIn2Ga
Method: DFT, PBE
State: optimized geometry

Structure (CIF):
```
data_GdIn2Ga
_cell_length_a 4.973
_cell_length_b 6.667
_cell_length_c 11.422
_cell_angle_alpha 90.00
_cell_angle_beta 90.00
_cell_angle_gamma 90.00
_space_group_name_H-M_alt 'A m m 2'
_space_group_IT_number 38
loop_
_space_group_symop_operation_xyz
'x,y,z'
'-x,-y,z'
'-x,y,z'
'x,-y,z'
'x,y+1/2,z+1/2'
'-x,-y+1/2,z+1/2'
'-x,y+1/2,z+1/2'
'x,-y+1/2,z+1/2'
loop_
_atom_site_label
_atom_site_type_symbol
_atom_site_fract_x
_atom_site_fract_y
_atom_site_fract_z
_atom_site_occupancy
Gd1 Gd 0.000 0.000 0.000 1
Gd2 Gd 0.500 0.000 0.327 1
In1 In 0.000 0.000 0.510 1
In2 In 0.500 0.000 0.822 1
In3 In 0.500 0.239 0.588 1
Ga1 Ga 0.000 0.229 0.746 1
```

Calculated values
As for the electronic total energy: -3.68 eV per atom.

---

Record 2
Material: GdIn2Ga
Method: DFT, PBE
State: optimized geometry

Structure (CIF):
```
data_GdIn2Ga
_cell_length_a 4.972
_cell_length_b 11.372
_cell_length_c 6.701
_cell_angle_alpha 90.00
_cell_angle_beta 90.00
_cell_angle_gamma 90.00
_space_group_name_H-M_alt 'A m a 2'
_space_group_IT_number 40
loop_
_space_group_symop_operation_xyz
'x,y,z'
'-x,-y,z'
'-x+1/2,y,z'
'x+1/2,-y,z'
'x,y+1/2,z+1/2'
'-x,-y+1/2,z+1/2'
'-x+1/2,y+1/2,z+1/2'
'x+1/2,-y+1/2,z+1/2'
loop_
_atom_site_label
_atom_site_type_symbol
_atom_site_fract_x
_atom_site_fract_y
_atom_site_fract_z
_atom_site_occupancy
Gd1 Gd 0.250 0.160 0.000 1
In1 In 0.250 0.156 0.516 1
In2 In 0.250 0.417 0.774 1
Ga1 Ga 0.250 0.424 0.242 1
```

Calculated values
As for the electronic total energy: -3.69 eV per atom.

---

Record 3
Material: GdInGa2
Method: DFT, PBE
State: optimized geometry

Structure (CIF):
```
data_GdInGa2
_cell_length_a 4.767
_cell_length_b 11.293
_cell_length_c 6.468
_cell_angle_alpha 90.00
_cell_angle_beta 90.00
_cell_angle_gamma 90.00
_space_group_name_H-M_alt 'A m a 2'
_space_group_IT_number 40
loop_
_space_group_symop_operation_xyz
'x,y,z'
'-x,-y,z'
'-x+1/2,y,z'
'x+1/2,-y,z'
'x,y+1/2,z+1/2'
'-x,-y+1/2,z+1/2'
'-x+1/2,y+1/2,z+1/2'
'x+1/2,-y+1/2,z+1/2'
loop_
_atom_site_label
_atom_site_type_symbol
_atom_site_fract_x
_atom_site_fract_y
_atom_site_fract_z
_atom_site_occupancy
Gd1 Gd 0.250 0.169 0.000 1
In1 In 0.250 0.421 0.221 1
Ga1 Ga 0.250 0.152 0.482 1
Ga2 Ga 0.250 0.429 0.764 1
```

Calculated values
As for the electronic total energy: -3.81 eV per atom.

---

Q: Which value of electronic total energy does entry 2 give?
A: -3.69 eV per atom

---

Q: Which formula does entry 1 have?
A: GdIn2Ga

---

Q: Which of these has the highest electronic total energy?
A: number 1

---

Q: Look up the electronic total energy of the third one.
A: -3.81 eV per atom